Record 1
The following is a DFT calculation (GGA-PBE) of crystalline CdRhSN2 at its relaxed geometry.

Cell lengths 4.0594, 4.0594, 5.5590 Å; angles 90.00, 90.00, 90.00 degrees
Site moments in Bohr magnetons follow the coordinates.
Fractional coordinates of all 5 atoms:
1 S 0.0000 0.0000 0.5000  0.20
2 N 0.0000 0.5000 0.0000  1.09
3 N 0.5000 0.0000 0.0000  1.09
4 Rh 0.5000 0.5000 0.5000  1.39
5 Cd 0.0000 0.0000 0.0000  0.07

- DOS at the Fermi energy (states/eV/atom) = 1.215
- formation energy (no corrections) (eV per atom) = 2.13
- volume (Å³ per cell) = 91.6
- VASP energy (eV per formula unit) = -18.38
- offset from the most stable computed form (meV/atom) = 1287.9



Record 2
The following is a DFT calculation (GGA-PBE) of crystalline CdRhS2N at its relaxed geometry.

Cell lengths 4.9567, 4.9567, 3.6377 Å; angles 90.00, 90.00, 90.00 degrees
Fractional coordinates of all 5 atoms:
1 S 0.0000 0.5000 0.0000
2 S 0.5000 0.0000 0.0000
3 N 0.0000 0.0000 0.5000
4 Rh 0.0000 0.0000 0.0000
5 Cd 0.5000 0.5000 0.5000

- DOS at the Fermi energy (states/eV/atom) = 0.429
- formation energy (no corrections) (eV per atom) = 0.36
- volume (Å³ per cell) = 89.4
- VASP energy (eV per formula unit) = -23.05
- offset from the most stable computed form (meV/atom) = 0.0



Record 3
The following is a DFT calculation (GGA-PBE) of crystalline CdRhS2N at its relaxed geometry.

Cell lengths 4.9451, 4.9451, 3.9999 Å; angles 90.00, 90.00, 90.00 degrees
Fractional coordinates of all 5 atoms:
1 S 0.0000 0.5000 0.0000
2 S 0.5000 0.0000 0.0000
3 N 0.0000 0.0000 0.5000
4 Rh 0.5000 0.5000 0.5000
5 Cd 0.0000 0.0000 0.0000

- DOS at the Fermi energy (states/eV/atom) = 1.906
- formation energy (no corrections) (eV per atom) = 1.73
- volume (Å³ per cell) = 97.8
- VASP energy (eV per formula unit) = -16.22
- offset from the most stable computed form (meV/atom) = 1365.1



Record 4
The following is a DFT calculation (GGA-PBE) of crystalline CdRhSe2N at its relaxed geometry.

Cell lengths 5.2212, 5.2212, 3.6384 Å; angles 90.00, 90.00, 90.00 degrees
Fractional coordinates of all 5 atoms:
1 N 0.0000 0.0000 0.5000
2 Rh 0.0000 0.0000 0.0000
3 Se 0.0000 0.5000 0.0000
4 Se 0.5000 0.0000 0.0000
5 Cd 0.5000 0.5000 0.5000

- DOS at the Fermi energy (states/eV/atom) = 0.335
- formation energy (no corrections) (eV per atom) = 0.28
- volume (Å³ per cell) = 99.2
- VASP energy (eV per formula unit) = -22.15
- offset from the most stable computed form (meV/atom) = 0.0



- What is the formation energy (no corrections) in the fourth record?
  0.28 eV per atom